No. 1
Density functional theory data (GGA-PBE) for a relaxed structure of FeSi.

Summary:
- DFT total energy: -7.2792 eV per atom
- Total magnetic moment: 0.8 μB/cell

a b c (Å): 2.7399 2.7399 3.5024
angles (deg): 90.00 90.00 120.00
Closest atoms and distances in Å follow each position.
Space group P-6m2 (No. 187)
One atom of each set of equivalent atoms:
Fe: 0.0000 0.0000 0.0000 x1  6 Si 2.36
Si: 0.3333 0.6667 0.5000 x1  6 Fe 2.36

---

No. 2
Density functional theory data (GGA-PBE) for a relaxed structure of PuAg2Hg.

Summary:
- DFT total energy: -4.9378 eV per atom
- Energy of formation from the pure elements: 0.146 eV per atom
- Total magnetic moment: 5.9 μB/cell

a b c (Å): 4.6092 4.6092 4.4613
angles (deg): 90.00 90.00 90.00
Closest atoms and distances in Å follow each position.
Space group P4/mmm (No. 123)
One atom of each set of equivalent atoms:
Pu: 0.0000 0.0000 0.0000 x1  8 Ag 3.21, 4 Hg 3.26
Ag: 0.0000 0.5000 0.5000 x2  4 Hg 3.21, 4 Pu 3.21, 4 Ag 3.26
Hg: 0.5000 0.5000 0.0000 x1  8 Ag 3.21, 4 Pu 3.26

---

No. 3
Density functional theory data (GGA-PBE) for a relaxed structure of CoHSBr.

Summary:
- DFT total energy: -4.1480 eV per atom
- E above lowest polymorph: 0.1182 eV/atom
- Total magnetic moment: 2.0 μB/cell

a b c (Å): 13.3611 3.3605 3.7480
angles (deg): 90.00 102.43 90.00
Closest atoms and distances in Å follow each position.
Space group Cm (No. 8)
One atom of each set of equivalent atoms:
Co: 0.0000 0.0000 0.0000 x2  2 S 2.19, 2 Br 2.36
H: 0.1605 0.5000 0.4134 x2  1 S 1.37
S: 0.1080 0.5000 0.0571 x2  1 H 1.37
Br: 0.3727 0.0000 0.8813 x2  2 Co 2.36

---

No. 4
Density functional theory data (GGA-PBE) for a relaxed structure of SiTe2SN.

Summary:
- DFT total energy: -3.8707 eV per atom
- E above lowest polymorph: 0.4865 eV/atom
- Total magnetic moment: 0.0 μB/cell

a b c (Å): 5.9308 5.9308 3.2188
angles (deg): 90.00 90.00 90.00
Closest atoms and distances in Å follow each position.
Space group P4/mmm (No. 123)
One atom of each set of equivalent atoms:
Si: 0.0000 0.0000 0.0000 x1  2 Si 3.22, 8 Te 3.37
Te: 0.0000 0.5000 0.5000 x2  2 S 2.97, 2 Te 3.22
S: 0.5000 0.5000 0.5000 x1  2 N 1.61
N: 0.5000 0.5000 0.0000 x1  2 S 1.61